Computed, not measured: crystalline DyErGa4Pt2 at its relaxed geometry at the PBE level of DFT.

Properties
density	11.2	Mg/m³
final energy	-5.103	eV/atom
SG	No. 38

Lattice parameters (Å, degrees): 6.696 5.514 5.514 46.62 90.00 90.00
Fractional coordinates of all 8 atoms:
Dy 0.000 0.000 0.000
Er 0.500 0.169 0.169
Ga 0.198 0.714 0.714
Ga 0.303 0.454 0.454
Ga 0.697 0.454 0.454
Ga 0.802 0.714 0.714
Pt 0.000 0.289 0.289
Pt 0.500 0.880 0.880



Computed, not measured: crystalline DyErGa2Pt4 at its relaxed geometry at the PBE level of DFT.

Properties
density	13.8	Mg/m³
polymorph energy (0 for the lowest one)	0.0	kJ/mol of atoms
final energy	-6.003	eV/atom
SG	No. 187

Lattice parameters (Å, degrees): 4.381 4.381 9.071 90.00 90.00 120.00
Fractional coordinates of all 8 atoms:
Dy 0.000 0.000 0.000
Er 0.333 0.667 0.500
Ga 0.667 0.333 0.250
Ga 0.667 0.333 0.750
Pt 0.000 0.000 0.337
Pt 0.000 0.000 0.663
Pt 0.333 0.667 0.166
Pt 0.333 0.667 0.834



Computed, not measured: crystalline SmDyEr2Ga2 at its relaxed geometry at the PBE level of DFT.

Properties
density	8.6	Mg/m³
final energy	-4.474	eV/atom
SG	No. 187

Lattice parameters (Å, degrees): 5.165 5.165 6.582 90.00 90.00 120.00
Fractional coordinates of all 6 atoms:
Sm 0.000 0.000 0.000
Dy 0.333 0.667 0.500
Er 0.667 0.333 0.252
Er 0.667 0.333 0.748
Ga 0.000 0.000 0.500
Ga 0.333 0.667 0.000



Computed, not measured: crystalline DyErTm2Ga4 at its relaxed geometry at the PBE level of DFT.

Properties
density	8.5	Mg/m³
final energy	-4.402	eV/atom
SG	No. 38

Lattice parameters (Å, degrees): 6.568 6.819 6.819 37.08 90.00 90.00
Fractional coordinates of all 8 atoms:
Dy 0.000 0.000 0.000
Er 0.500 0.108 0.108
Tm 0.000 0.276 0.276
Tm 0.500 0.832 0.832
Ga 0.197 0.654 0.654
Ga 0.304 0.454 0.454
Ga 0.696 0.454 0.454
Ga 0.803 0.654 0.654



Computed, not measured: crystalline Dy2ErTmGa4 at its relaxed geometry at the PBE level of DFT.

Properties
density	8.3	Mg/m³
final energy	-4.426	eV/atom
SG	No. 38

Lattice parameters (Å, degrees): 6.585 6.961 6.961 35.96 90.00 90.00
Fractional coordinates of all 8 atoms:
Dy 0.000 0.000 0.000
Dy 0.500 0.448 0.448
Er 0.000 0.275 0.275
Tm 0.500 0.173 0.173
Ga 0.198 0.626 0.626
Ga 0.303 0.821 0.821
Ga 0.697 0.821 0.821
Ga 0.802 0.626 0.626



Computed, not measured: crystalline Dy2ErTmGa2 at its relaxed geometry at the PBE level of DFT.

Properties
density	8.9	Mg/m³
final energy	-4.440	eV/atom
SG	No. 187

Lattice parameters (Å, degrees): 5.136 5.136 6.531 90.00 90.00 120.00
Fractional coordinates of all 6 atoms:
Dy 0.000 0.000 0.250
Dy 0.000 0.000 0.750
Er 0.667 0.333 0.000
Tm 0.333 0.667 0.500
Ga 0.333 0.667 0.000
Ga 0.667 0.333 0.500